## Na3Tb2MoO6 (PBE+U)

Data for crystalline Na3Tb2MoO6 at its relaxed geometry.

Cell: 5.8355 10.1127 5.9027 Å, 90.00 109.05 90.00°
Closest atoms and distances in Å follow each position.
Space group C2/m (No. 12)
Inequivalent atoms, fractional coordinates:
1 Na 0.0000 0.0000 0.0000  6 O 2.50-2.56
2 Na 0.0000 0.3407 0.0000  6 O 2.46-2.62
3 Tb 0.0000 0.1670 0.5000  6 O 2.30-2.31
4 Mo 0.0000 0.5000 0.5000  6 O 2.23
5 O 0.2320 0.3386 0.7131  1 Mo 2.23, 2 Tb 2.31, 1 Na 2.49
6 O 0.2465 0.0000 0.7114  1 Mo 2.23, 2 Tb 2.30, 2 Na 2.46

Computed properties:
Electronic total energy in eV per atom: -6.5805
Density in g/cm3: 5.8